A crystal of Tc3Sb relaxed with PBEsol. Source: Alexandria via LeMat-Bulk, functional SCAN.

```
Tc3Sb
1.0
2.935 0.000 0.000
0.000 4.496 0.000
0.000 0.000 4.693
Tc Sb
3 1
Cartesian
0.000 0.000 0.000
0.000 2.248 1.285
1.467 2.248 3.752
1.467 0.000 2.269
```

Properties
Magnetic moment: 0.001 μB/f.u.
SG: Pmm2 (25)
E_form (uncorrected): 1.016 eV/f.u.
Total energy: -35.356 eV per atom
ΔE to the lowest computed polymorph: 31 meV/atom

A crystal of TcSb3 relaxed with PBEsol. Source: Alexandria via LeMat-Bulk, functional SCAN.

```
TcSb3
1.0
6.658 0.000 0.000
0.000 8.125 0.000
0.000 0.000 6.490
Tc Sb
4 12
Cartesian
1.068 2.031 0.130
2.261 6.094 3.375
4.397 2.031 3.115
5.590 6.094 6.359
0.187 2.031 4.070
1.192 4.629 5.537
1.192 7.559 5.537
2.137 0.567 2.293
2.137 3.496 2.293
3.143 6.094 0.825
3.516 2.031 5.665
4.521 4.629 4.197
4.521 7.559 4.197
5.467 0.567 0.952
5.467 3.496 0.952
6.472 6.094 2.420
```

Properties
Magnetic moment: 0.000 μB/f.u.
SG: Pnma (62)
E_form (uncorrected): 0.148 eV/f.u.
Total energy: -36.674 eV per atom
ΔE to the lowest computed polymorph: 0 meV/atom

A crystal of TcSb2 relaxed with PBEsol. Source: Alexandria via LeMat-Bulk, functional SCAN.

```
TcSb2
1.0
-3.147 3.147 2.990
3.147 -3.147 2.990
3.147 3.147 -2.990
Tc Sb
2 4
Cartesian
0.000 0.000 1.495
0.000 0.000 4.485
4.169 1.022 0.000
1.022 2.125 0.000
2.125 1.022 2.990
-1.022 2.125 2.990
```

Properties
Magnetic moment: 0.000 μB/f.u.
SG: I4/mcm (140)
E_form (uncorrected): 0.166 eV/f.u.
Total energy: -36.472 eV per atom
ΔE to the lowest computed polymorph: 91 meV/atom

A crystal of Tc3Sb relaxed with PBEsol. Source: Alexandria via LeMat-Bulk, functional SCAN.

```
Tc3Sb
1.0
2.624 -4.003 0.000
2.624 4.003 0.000
0.000 0.000 2.945
Tc Sb
3 1
Cartesian
0.000 0.000 0.000
1.312 2.001 1.472
1.312 -2.001 1.472
2.624 0.000 0.000
```

Properties
Magnetic moment: 0.000 μB/f.u.
SG: Cmmm (65)
E_form (uncorrected): 1.509 eV/f.u.
Total energy: -35.233 eV per atom
ΔE to the lowest computed polymorph: 154 meV/atom

A crystal of TcSb3 relaxed with PBEsol. Source: Alexandria via LeMat-Bulk, functional SCAN.

```
TcSb3
1.0
3.327 0.000 0.000
0.000 8.612 0.000
0.000 0.000 6.425
Tc Sb
2 6
Cartesian
0.832 2.153 0.232
2.495 6.459 6.193
0.832 4.816 1.266
0.832 6.459 4.085
0.832 8.103 1.266
2.495 0.510 5.159
2.495 2.153 2.340
2.495 3.797 5.159
```

Properties
Magnetic moment: 0.000 μB/f.u.
SG: Pmmn (59)
E_form (uncorrected): 0.197 eV/f.u.
Total energy: -36.661 eV per atom
ΔE to the lowest computed polymorph: 12 meV/atom

A crystal of Tc3Sb relaxed with PBEsol. Source: Alexandria via LeMat-Bulk, functional SCAN.

```
Tc3Sb
1.0
-1.552 2.212 4.440
1.552 -2.212 4.440
1.552 2.212 -4.440
Tc Sb
3 1
Cartesian
0.000 0.000 0.000
1.552 0.000 2.320
0.000 2.212 2.120
0.000 0.000 4.440
```

Properties
Magnetic moment: 0.000 μB/f.u.
SG: Immm (71)
E_form (uncorrected): 0.893 eV/f.u.
Total energy: -35.387 eV per atom
ΔE to the lowest computed polymorph: 0 meV/atom

A crystal of TcSb3 relaxed with PBEsol. Source: Alexandria via LeMat-Bulk, functional SCAN.

```
TcSb3
1.0
3.218 0.000 0.000
0.000 3.218 0.000
0.000 0.000 8.523
Tc Sb
1 3
Cartesian
0.000 0.000 0.000
0.000 0.000 4.261
1.609 1.609 1.611
1.609 1.609 6.912
```

Properties
Magnetic moment: 0.000 μB/f.u.
SG: P4/mmm (123)
E_form (uncorrected): 0.603 eV/f.u.
Total energy: -36.560 eV per atom
ΔE to the lowest computed polymorph: 114 meV/atom

A crystal of TcSb2 relaxed with PBEsol. Source: Alexandria via LeMat-Bulk, functional SCAN.

```
TcSb2
1.0
-1.595 1.595 6.267
1.595 -1.595 6.267
1.595 1.595 -6.267
Tc Sb
1 2
Cartesian
0.000 0.000 0.000
0.000 0.000 4.633
0.000 0.000 7.901
```

Properties
Magnetic moment: 0.000 μB/f.u.
SG: I4/mmm (139)
E_form (uncorrected): 0.101 eV/f.u.
Total energy: -36.493 eV per atom
ΔE to the lowest computed polymorph: 70 meV/atom

- Which value of total energy does entry 7 give?
  -36.560 eV per atom

- Which of these has the lowest total energy?
  number 2

- total energy of number 4 (Tc3Sb)?
  -35.233 eV per atom

- Number 5 is which compound?
  TcSb3